An optimized crystal structure of NbCoH2Os. Source: Alexandria via LeMat-Bulk, functional PBE-GGA.

The space group is P4/mmm (No. 123) and the conventional cell measures 3.535, 3.535 and 4.818 Å, with angles of 90.00, 90.00 and 90.00 degrees. The asymmetric unit holds Nb at (0.000, 0.000, 0.000), Co at (0.500, 0.500, 0.500), H at (0.000, 0.500, 0.500) and Os at (0.500, 0.500, 0.000).

Its total energy is -6.29 eV/atom.